Below is a geometry-optimized Ti5Mn3O16 structure, with properties calculated at the GGA+U level.

Calculated values
Uncorrected energy ... -8.185 eV per atom
Crystal system ... monoclinic
Total magnetization ... 9.0 μB/f.u.

a = 5.875 Å, b = 5.875 Å, c = 9.060 Å
α = 91.08°, β = 91.08°, γ = 60.09°
Fractional positions:
Ti  0.000  0.000  0.000
Ti  0.168  0.168  0.721
Ti  0.169  0.661  0.499
Ti  0.511  0.511  0.219
Ti  0.661  0.169  0.499
Mn  0.007  0.497  0.005
Mn  0.497  0.007  0.005
Mn  0.664  0.664  0.507
O  0.008  0.008  0.614
O  0.008  0.498  0.616
O  0.176  0.176  0.114
O  0.178  0.672  0.115
O  0.315  0.315  0.886
O  0.318  0.883  0.879
O  0.357  0.357  0.375
O  0.364  0.790  0.380
O  0.498  0.008  0.616
O  0.505  0.505  0.615
O  0.672  0.178  0.115
O  0.672  0.672  0.114
O  0.790  0.364  0.380
O  0.830  0.830  0.402
O  0.832  0.832  0.902
O  0.883  0.318  0.879